{
  "formula": "Tb4Pr3Pu",
  "functional": "PBE",
  "state": "relaxed",
  "ef_kj_per_mol_fu": 117,
  "spacegroup": "Immm, No. 71",
  "e_tot_ev_per_cell": -45.98,
  "mass_density_g_cm3": 8.14,
  "cell": [[-2.214, -1.124, -2.435], [7.450, 3.479, -8.379], [0.234, -7.024, 5.513]],
  "species": ["Tb", "Tb", "Tb", "Tb", "Pr", "Pr", "Pr", "Pu"],
  "fractional_positions": [[0.632, 0.379, 0.264], [0.368, 0.115, 0.736], [0.368, 0.621, 0.736], [0.632, 0.885, 0.264], [0.000, 0.500, 0.000], [0.765, 0.765, 0.530], [0.235, 0.235, 0.470], [0.500, 0.000, 0.000]]
}